No. 1
Nb4AsP | PBE-GGA | relaxed

Values from the calculation:
As for the energy relative to the elements: -0.193 eV per atom.

Cell and atoms, written as CIF:
```
data_Nb4AsP
_space_group_name_H-M_alt 'C 1 2/c 1'
_space_group_IT_number 15
_cell_length_a 13.069
_cell_length_b 5.806
_cell_length_c 6.188
_cell_angle_alpha 90.00
_cell_angle_beta 108.46
_cell_angle_gamma 90.00
loop_
_space_group_symop_operation_xyz
'x,y,z'
'-x,-y,-z'
'-x,y,-z+1/2'
'x,-y,z+1/2'
'x+1/2,y+1/2,z'
'-x+1/2,-y+1/2,-z'
'-x+1/2,y+1/2,-z+1/2'
'x+1/2,-y+1/2,z+1/2'
loop_
_atom_site_label
_atom_site_fract_x
_atom_site_fract_y
_atom_site_fract_z
Nb1 0.090 0.063 0.471
Nb2 0.158 0.421 0.129
As1 0.000 0.327 0.750
P1 0.250 0.250 0.500
```

---

No. 2
NbAs3P | PBE-GGA | relaxed

Values from the calculation:
As for the energy relative to the elements: 0.840 eV per atom.

Cell and atoms, written as CIF:
```
data_NbAs3P
_space_group_name_H-M_alt 'P m -3 m'
_space_group_IT_number 221
_space_group_name_Hall '-P 4 2 3'
_cell_length_a 4.642
_cell_length_b 4.642
_cell_length_c 4.642
_cell_angle_alpha 90.00
_cell_angle_beta 90.00
_cell_angle_gamma 90.00
loop_
_atom_site_label
_atom_site_fract_x
_atom_site_fract_y
_atom_site_fract_z
Nb1 0.000 0.000 0.000
As1 0.000 0.500 0.500
P1 0.500 0.500 0.500
```

---

No. 3
Nb3AsP | PBE-GGA | relaxed

Values from the calculation:
As for the energy relative to the elements: -0.634 eV per atom.

Cell and atoms, written as CIF:
```
data_Nb3AsP
_space_group_name_H-M_alt 'P 1 21/m 1'
_space_group_IT_number 11
_cell_length_a 6.507
_cell_length_b 3.466
_cell_length_c 7.729
_cell_angle_alpha 90.00
_cell_angle_beta 95.86
_cell_angle_gamma 90.00
loop_
_space_group_symop_operation_xyz
'x,y,z'
'-x,-y,-z'
'-x,y+1/2,-z'
'x,-y+1/2,z'
loop_
_atom_site_label
_atom_site_fract_x
_atom_site_fract_y
_atom_site_fract_z
Nb1 0.017 0.250 0.169
Nb2 0.163 0.250 0.588
Nb3 0.481 0.750 0.809
As1 0.274 0.750 0.352
P1 0.252 0.250 0.933
```

---

No. 4
NbAsP3 | PBE-GGA | relaxed

Values from the calculation:
As for the energy relative to the elements: 0.688 eV per atom.

Cell and atoms, written as CIF:
```
data_NbAsP3
_space_group_name_H-M_alt 'P m -3 m'
_space_group_IT_number 221
_space_group_name_Hall '-P 4 2 3'
_cell_length_a 4.810
_cell_length_b 4.810
_cell_length_c 4.810
_cell_angle_alpha 90.00
_cell_angle_beta 90.00
_cell_angle_gamma 90.00
loop_
_atom_site_label
_atom_site_fract_x
_atom_site_fract_y
_atom_site_fract_z
Nb1 0.000 0.000 0.000
As1 0.500 0.500 0.500
P1 0.000 0.000 0.500
```

---

No. 5
NbSbAsP2 | PBE-GGA | relaxed

Values from the calculation:
For the uncorrected formation energy, the calculation gives 572 meV/atom.

Cell and atoms, written as CIF:
```
data_NbSbAsP2
_space_group_name_H-M_alt 'P 4/m m m'
_space_group_IT_number 123
_space_group_name_Hall '-P 4 2'
_cell_length_a 4.702
_cell_length_b 4.702
_cell_length_c 5.677
_cell_angle_alpha 90.00
_cell_angle_beta 90.00
_cell_angle_gamma 90.00
loop_
_atom_site_label
_atom_site_fract_x
_atom_site_fract_y
_atom_site_fract_z
Nb1 0.000 0.000 0.000
Sb1 0.000 0.000 0.500
As1 0.500 0.500 0.500
P1 0.000 0.500 0.000
```

---

No. 6
NbAsPSe2 | PBE-GGA | relaxed

Values from the calculation:
For the uncorrected formation energy, the calculation gives 532 meV/atom.

Cell and atoms, written as CIF:
```
data_NbAsPSe2
_space_group_name_H-M_alt 'P 4/m m m'
_space_group_IT_number 123
_space_group_name_Hall '-P 4 2'
_cell_length_a 4.966
_cell_length_b 4.966
_cell_length_c 5.196
_cell_angle_alpha 90.00
_cell_angle_beta 90.00
_cell_angle_gamma 90.00
loop_
_atom_site_label
_atom_site_fract_x
_atom_site_fract_y
_atom_site_fract_z
Nb1 0.000 0.000 0.000
As1 0.000 0.000 0.500
P1 0.500 0.500 0.500
Se1 0.000 0.500 0.000
```

---

No. 7
NbAs2PSe | PBE-GGA | relaxed

Values from the calculation:
For the uncorrected formation energy, the calculation gives 791 meV/atom.

Cell and atoms, written as CIF:
```
data_NbAs2PSe
_space_group_name_H-M_alt 'P 4/m m m'
_space_group_IT_number 123
_space_group_name_Hall '-P 4 2'
_cell_length_a 4.604
_cell_length_b 4.604
_cell_length_c 4.776
_cell_angle_alpha 90.00
_cell_angle_beta 90.00
_cell_angle_gamma 90.00
loop_
_atom_site_label
_atom_site_fract_x
_atom_site_fract_y
_atom_site_fract_z
Nb1 0.000 0.000 0.000
As1 0.000 0.500 0.500
P1 0.500 0.500 0.500
Se1 0.500 0.500 0.000
```

---

No. 8
NbAsPSe2 | PBE-GGA | relaxed

Values from the calculation:
For the uncorrected formation energy, the calculation gives 739 meV/atom.

Cell and atoms, written as CIF:
```
data_NbAsPSe2
_space_group_name_H-M_alt 'P 4/m m m'
_space_group_IT_number 123
_space_group_name_Hall '-P 4 2'
_cell_length_a 4.725
_cell_length_b 4.725
_cell_length_c 4.605
_cell_angle_alpha 90.00
_cell_angle_beta 90.00
_cell_angle_gamma 90.00
loop_
_atom_site_label
_atom_site_fract_x
_atom_site_fract_y
_atom_site_fract_z
Nb1 0.000 0.000 0.000
As1 0.500 0.500 0.000
P1 0.500 0.500 0.500
Se1 0.000 0.500 0.500
```

---

No. 9
NbAs2PSe | PBE-GGA | relaxed

Values from the calculation:
For the uncorrected formation energy, the calculation gives 646 meV/atom.

Cell and atoms, written as CIF:
```
data_NbAs2PSe
_space_group_name_H-M_alt 'P 4/m m m'
_space_group_IT_number 123
_space_group_name_Hall '-P 4 2'
_cell_length_a 5.074
_cell_length_b 5.074
_cell_length_c 4.909
_cell_angle_alpha 90.00
_cell_angle_beta 90.00
_cell_angle_gamma 90.00
loop_
_atom_site_label
_atom_site_fract_x
_atom_site_fract_y
_atom_site_fract_z
Nb1 0.000 0.000 0.000
As1 0.000 0.500 0.000
P1 0.500 0.500 0.500
Se1 0.000 0.000 0.500
```

---

No. 10
Nb2SiAsP | PBE-GGA | relaxed

Values from the calculation:
For the uncorrected formation energy, the calculation gives 665 meV/atom.

Cell and atoms, written as CIF:
```
data_Nb2SiAsP
_space_group_name_H-M_alt 'P 4/m m m'
_space_group_IT_number 123
_space_group_name_Hall '-P 4 2'
_cell_length_a 4.719
_cell_length_b 4.719
_cell_length_c 4.439
_cell_angle_alpha 90.00
_cell_angle_beta 90.00
_cell_angle_gamma 90.00
loop_
_atom_site_label
_atom_site_fract_x
_atom_site_fract_y
_atom_site_fract_z
Nb1 0.000 0.500 0.000
Si1 0.000 0.000 0.500
As1 0.500 0.500 0.500
P1 0.500 0.500 0.000
```

---

No. 11
NbSn2AsP | PBE-GGA | relaxed

Values from the calculation:
As for the energy relative to the elements: 0.937 eV per atom.

Cell and atoms, written as CIF:
```
data_NbSn2AsP
_space_group_name_H-M_alt 'P 4/m m m'
_space_group_IT_number 123
_space_group_name_Hall '-P 4 2'
_cell_length_a 5.083
_cell_length_b 5.083
_cell_length_c 4.607
_cell_angle_alpha 90.00
_cell_angle_beta 90.00
_cell_angle_gamma 90.00
loop_
_atom_site_label
_atom_site_fract_x
_atom_site_fract_y
_atom_site_fract_z
Nb1 0.000 0.000 0.000
Sn1 0.000 0.500 0.500
As1 0.500 0.500 0.000
P1 0.500 0.500 0.500
```

---

No. 12
NbTc2AsP | PBE-GGA | relaxed

Values from the calculation:
As for the energy relative to the elements: 0.768 eV per atom.

Cell and atoms, written as CIF:
```
data_NbTc2AsP
_space_group_name_H-M_alt 'P 4/m m m'
_space_group_IT_number 123
_space_group_name_Hall '-P 4 2'
_cell_length_a 4.349
_cell_length_b 4.349
_cell_length_c 4.724
_cell_angle_alpha 90.00
_cell_angle_beta 90.00
_cell_angle_gamma 90.00
loop_
_atom_site_label
_atom_site_fract_x
_atom_site_fract_y
_atom_site_fract_z
Nb1 0.000 0.000 0.000
Tc1 0.000 0.500 0.500
As1 0.500 0.500 0.000
P1 0.500 0.500 0.500
```

---

No. 13
NbTlAsP2 | PBE-GGA | relaxed

Values from the calculation:
As for the energy relative to the elements: 1.739 eV per atom.

Cell and atoms, written as CIF:
```
data_NbTlAsP2
_space_group_name_H-M_alt 'P 4/m m m'
_space_group_IT_number 123
_space_group_name_Hall '-P 4 2'
_cell_length_a 4.920
_cell_length_b 4.920
_cell_length_c 5.131
_cell_angle_alpha 90.00
_cell_angle_beta 90.00
_cell_angle_gamma 90.00
loop_
_atom_site_label
_atom_site_fract_x
_atom_site_fract_y
_atom_site_fract_z
Nb1 0.000 0.000 0.000
Tl1 0.500 0.500 0.500
As1 0.500 0.500 0.000
P1 0.000 0.500 0.500
```